First-principles (GGA-PBE) data for a relaxed structure of B2C, as listed in the Alexandria database.

Unit cell a=4.901 b=2.657 c=6.831 alpha=90.00 beta=91.66 gamma=90.00
Space group Pm (No. 6)
Asymmetric unit:
B  0.000  0.000  0.000 (multiplicity 1)
B  0.004  0.000  0.537 (multiplicity 1)
B  0.157  0.500  0.743 (multiplicity 1)
B  0.338  0.000  0.617 (multiplicity 1)
B  0.441  0.000  0.382 (multiplicity 1)
B  0.498  0.500  0.047 (multiplicity 1)
B  0.654  0.000  0.731 (multiplicity 1)
B  0.818  0.500  0.402 (multiplicity 1)
C  0.172  0.500  0.979 (multiplicity 1)
C  0.538  0.500  0.295 (multiplicity 1)
C  0.680  0.000  0.964 (multiplicity 1)
C  0.847  0.500  0.638 (multiplicity 1)

Output
energy of formation: 0.4056 eV/atom
crystal system: monoclinic
final energy: -7.1206 eV per atom
energy above the most stable polymorph in this dataset: 220 meV per atom

First-principles (GGA-PBE) data for a relaxed structure of KZnO2F, as listed in the Alexandria database.

Unit cell a=3.905 b=3.905 c=4.558 alpha=90.00 beta=90.00 gamma=90.00
Space group P4/mmm (No. 123)
Asymmetric unit:
K  0.000  0.000  0.000 (multiplicity 1)
Zn  0.500  0.500  0.500 (multiplicity 1)
O  0.000  0.500  0.500 (multiplicity 2)
F  0.500  0.500  0.000 (multiplicity 1)

Output
crystal system: tetragonal
formation energy (no corrections): -1190.5 meV/atom
final energy: -4.0223 eV per atom

First-principles (GGA-PBE) data for a relaxed structure of HgMoAs2, as listed in the Alexandria database.

Unit cell a=9.071 b=3.163 c=5.450 alpha=90.00 beta=99.54 gamma=90.00
Space group C2/m (No. 12)
Asymmetric unit:
Hg  0.000  0.000  0.000 (multiplicity 2)
Mo  0.000  0.500  0.500 (multiplicity 2)
As  0.220  0.000  0.690 (multiplicity 4)

Output
energy of formation: 0.2423 eV/atom
crystal system: monoclinic
final energy: -4.8657 eV per atom

First-principles (GGA-PBE) data for a relaxed structure of NdTlAg, as listed in the Alexandria database.

Unit cell a=3.483 b=18.702 c=4.790 alpha=90.00 beta=90.00 gamma=90.00
Space group Cmcm (No. 63)
Asymmetric unit:
Nd  0.000  0.124  0.250 (multiplicity 4)
Tl  0.000  0.452  0.250 (multiplicity 4)
Ag  0.000  0.286  0.250 (multiplicity 4)

Output
energy of formation: -0.1967 eV/atom
crystal system: orthorhombic
final energy: -3.5252 eV per atom